Entry from the Alexandria database: a relaxed Th3Pa crystal (PBE-GGA).

Unit cell a=3.4370 b=5.9833 c=6.8245 alpha=116.00 beta=104.58 gamma=90.00
With the nearest neighbours (Å) after each atom.
Positions (direct):
Pa  0.0000  0.0036  0.0000  10 Th 3.42-3.58, 2 Pa 3.44
Th  0.2538  0.5867  0.5075  9 Th 3.44-3.58, 3 Pa 3.52-3.58
Th  0.5000  0.4972  0.0000  4 Pa 3.42-3.48, 8 Th 3.44-3.58
Th  0.7462  0.0792  0.4925  9 Th 3.44-3.58, 3 Pa 3.52-3.58

Values from the calculation:
- Total DFT energy (no corrections): -7.809 eV/atom